# 1
Density functional theory data (SCAN) for a PBEsol-optimized structure of CaTc2BiAs.

**E_tot**: -35.055 eV/atom
**Symmetry**: P4/mmm, No. 123
**Energy of formation**: 3.279 eV/f.u.

Cell and atoms, written as POSCAR:
```
CaTc2BiAs
1.0
4.631 0.000 0.000
0.000 4.631 0.000
0.000 0.000 5.498
As Ca Bi Tc
1 1 1 2
direct
0.000 0.000 0.000
0.500 0.500 0.500
0.000 0.000 0.500
0.000 0.500 0.000
0.500 0.000 0.000
```

=====

# 2
Density functional theory data (SCAN) for a PBEsol-optimized structure of LiAuSe2.

**Formation energy from raw total energies**: -0.54 eV per atom
**E_tot**: -28.464 eV/atom
**Symmetry**: Immm, No. 71

Cell and atoms, written as POSCAR:
```
LiAuSe2
1.0
-1.999 2.617 1.858
-3.246 -2.872 0.551
4.816 -1.468 3.403
Au Se Li
1 2 1
direct
0.000 0.500 0.000
0.653 0.653 0.306
0.347 0.347 0.694
0.500 0.000 0.000
```